Record 1
## Ho2Al4PdAu (PBE)

Data for an optimized crystal structure of Ho2Al4PdAu.

Results
M_tot: 0.043 Bohr magnetons per cell

a b c (Å): 6.8381 4.3814 10.2162
angles (deg): 90.00 90.00 90.00
Atoms (fractional coordinates):
Ho 0.0000 0.0000 0.0000
Ho 0.0000 0.5000 0.5000
Ho 0.5000 0.0000 0.1524
Ho 0.5000 0.5000 0.6524
Al 0.1940 0.0000 0.7084
Al 0.1940 0.5000 0.2084
Al 0.2981 0.0000 0.4406
Al 0.2981 0.5000 0.9406
Al 0.7019 0.0000 0.4406
Al 0.7019 0.5000 0.9406
Al 0.8060 0.0000 0.7084
Al 0.8060 0.5000 0.2084
Pd 0.0000 0.0000 0.2831
Pd 0.0000 0.5000 0.7831
Au 0.5000 0.0000 0.8662
Au 0.5000 0.5000 0.3662

---

Record 2
## Ho2Al4PtAu (PBE)

Data for an optimized crystal structure of Ho2Al4PtAu.

Results
M_tot: 0.006 Bohr magnetons per cell

a b c (Å): 6.8436 4.3595 10.2414
angles (deg): 90.00 90.00 90.00
Atoms (fractional coordinates):
Ho 0.0000 0.0000 0.0000
Ho 0.0000 0.5000 0.5000
Ho 0.5000 0.0000 0.1512
Ho 0.5000 0.5000 0.6512
Al 0.1935 0.0000 0.7105
Al 0.1935 0.5000 0.2105
Al 0.2976 0.0000 0.4390
Al 0.2976 0.5000 0.9390
Al 0.7024 0.0000 0.4390
Al 0.7024 0.5000 0.9390
Al 0.8065 0.0000 0.7105
Al 0.8065 0.5000 0.2105
Pt 0.0000 0.0000 0.2833
Pt 0.0000 0.5000 0.7833
Au 0.5000 0.0000 0.8656
Au 0.5000 0.5000 0.3656

---

Record 3
## Ho2Al2PtAu3 (PBE)

Data for an optimized crystal structure of Ho2Al2PtAu3.

Results
M_tot: 0.001 Bohr magnetons per cell

a b c (Å): 4.4757 4.4757 9.1384
angles (deg): 90.00 90.00 120.00
Atoms (fractional coordinates):
Ho 0.0000 0.0000 0.0000
Ho 0.3333 0.6667 0.4906
Al 0.6667 0.3333 0.2697
Al 0.6667 0.3333 0.7468
Pt 0.0000 0.0000 0.3257
Au 0.0000 0.0000 0.6612
Au 0.3333 0.6667 0.1625
Au 0.3333 0.6667 0.8334

---

Record 4
## Ho2Al2Pt3Au (PBE)

Data for an optimized crystal structure of Ho2Al2Pt3Au.

Results
M_tot: 0.005 Bohr magnetons per cell

a b c (Å): 4.3774 4.3774 9.1958
angles (deg): 90.00 90.00 120.00
Atoms (fractional coordinates):
Ho 0.0000 0.0000 0.0000
Ho 0.3333 0.6667 0.5111
Al 0.6667 0.3333 0.2802
Al 0.6667 0.3333 0.7570
Pt 0.0000 0.0000 0.3379
Pt 0.0000 0.0000 0.6752
Pt 0.3333 0.6667 0.8417
Au 0.3333 0.6667 0.1702

---

Going through the records in order, we get E values of -4.8135, -5.0223, -4.9457, -5.8581 eV per atom.